(1)
VASP calculation (PBE-GGA) on a geometry-optimized Al2TlSb structure.

The structure in CIF format:
```
data_Al2TlSb
_chemical_formula_sum 'Al4 Tl2 Sb2'
_cell_length_a 4.165
_cell_length_b 5.416
_cell_length_c 8.574
_cell_angle_alpha 90.00
_cell_angle_beta 90.00
_cell_angle_gamma 90.00
_space_group_name_H-M_alt 'I m m m'
_space_group_IT_number 71
_space_group_name_Hall '-I 2 2'
loop_
_atom_site_label
_atom_site_type_symbol
_atom_site_fract_x
_atom_site_fract_y
_atom_site_fract_z
Al1 Al 0.000 0.000 0.242
Tl1 Tl 0.000 0.500 0.000
Sb1 Sb 0.000 0.500 0.500
```

Results
raw total energy	-3.223	eV per atom
calculated volume	97	Å³/f.u.
energy relative to the lowest polymorph listed for this composition	11.9	kJ per mole of atoms



(2)
VASP calculation (PBE-GGA) on a geometry-optimized AlTlSb structure.

The structure in CIF format:
```
data_AlTlSb
_chemical_formula_sum 'Al4 Tl4 Sb4'
_cell_length_a 7.019
_cell_length_b 7.019
_cell_length_c 7.019
_cell_angle_alpha 90.00
_cell_angle_beta 90.00
_cell_angle_gamma 90.00
_space_group_name_H-M_alt 'F -4 3 m'
_space_group_IT_number 216
_space_group_name_Hall 'F -4 2 3'
loop_
_atom_site_label
_atom_site_type_symbol
_atom_site_fract_x
_atom_site_fract_y
_atom_site_fract_z
Al1 Al 0.000 0.000 0.000
Tl1 Tl 0.250 0.250 0.250
Sb1 Sb 0.250 0.250 0.750
```

Results
raw total energy	-3.248	eV per atom
calculated volume	86	Å³/f.u.
energy relative to the lowest polymorph listed for this composition	15.1	kJ per mole of atoms



(3)
VASP calculation (PBE-GGA) on a geometry-optimized AlTlSb2 structure.

The structure in CIF format:
```
data_AlTlSb2
_chemical_formula_sum 'Al4 Tl4 Sb8'
_cell_length_a 7.465
_cell_length_b 7.465
_cell_length_c 7.465
_cell_angle_alpha 90.00
_cell_angle_beta 90.00
_cell_angle_gamma 90.00
_space_group_name_H-M_alt 'F m -3 m'
_space_group_IT_number 225
_space_group_name_Hall '-F 4 2 3'
loop_
_atom_site_label
_atom_site_type_symbol
_atom_site_fract_x
_atom_site_fract_y
_atom_site_fract_z
Al1 Al 0.000 0.000 0.000
Tl1 Tl 0.000 0.000 0.500
Sb1 Sb 0.250 0.250 0.250
```

Results
raw total energy	-3.333	eV per atom
calculated volume	104	Å³/f.u.
energy relative to the lowest polymorph listed for this composition	25.5	kJ per mole of atoms



(4)
VASP calculation (PBE-GGA) on a geometry-optimized AlTlSb2 structure.

The structure in CIF format:
```
data_AlTlSb2
_chemical_formula_sum 'Al1 Tl1 Sb2'
_cell_length_a 3.157
_cell_length_b 5.536
_cell_length_c 6.168
_cell_angle_alpha 90.00
_cell_angle_beta 90.00
_cell_angle_gamma 90.00
_space_group_name_H-M_alt 'P m m 2'
_space_group_IT_number 25
loop_
_space_group_symop_operation_xyz
'x,y,z'
'-x,-y,z'
'-x,y,z'
'x,-y,z'
loop_
_atom_site_label
_atom_site_type_symbol
_atom_site_fract_x
_atom_site_fract_y
_atom_site_fract_z
Al1 Al 0.000 0.000 0.000
Tl1 Tl 0.500 0.500 0.269
Sb1 Sb 0.000 0.000 0.508
Sb2 Sb 0.000 0.500 0.783
```

Results
raw total energy	-3.414	eV per atom
calculated volume	108	Å³/f.u.
energy relative to the lowest polymorph listed for this composition	17.7	kJ per mole of atoms



(5)
VASP calculation (PBE-GGA) on a geometry-optimized AlTlVSb2 structure.

The structure in CIF format:
```
data_AlTlVSb2
_chemical_formula_sum 'Al1 Tl1 V1 Sb2'
_cell_length_a 5.145
_cell_length_b 5.145
_cell_length_c 5.006
_cell_angle_alpha 90.00
_cell_angle_beta 90.00
_cell_angle_gamma 90.00
_space_group_name_H-M_alt 'P 4/m m m'
_space_group_IT_number 123
_space_group_name_Hall '-P 4 2'
loop_
_atom_site_label
_atom_site_type_symbol
_atom_site_fract_x
_atom_site_fract_y
_atom_site_fract_z
Al1 Al 0.000 0.000 0.000
Tl1 Tl 0.500 0.500 0.000
V1 V 0.000 0.000 0.500
Sb1 Sb 0.000 0.500 0.500
```

Results
raw total energy	-4.486	eV per atom
calculated volume	133	Å³/f.u.



(6)
VASP calculation (PBE-GGA) on a geometry-optimized Tm5Al2Sb structure.

The structure in CIF format:
```
data_Tm5Al2Sb
_chemical_formula_sum 'Tm20 Al8 Sb4'
_cell_length_a 8.082
_cell_length_b 8.082
_cell_length_c 12.611
_cell_angle_alpha 90.00
_cell_angle_beta 90.00
_cell_angle_gamma 90.00
_space_group_name_H-M_alt 'I 4/m c m'
_space_group_IT_number 140
_space_group_name_Hall '-I 4 2c'
loop_
_atom_site_label
_atom_site_type_symbol
_atom_site_fract_x
_atom_site_fract_y
_atom_site_fract_z
Tm1 Tm 0.000 0.000 0.000
Tm2 Tm 0.157 0.343 0.147
Al1 Al 0.139 0.361 0.500
Sb1 Sb 0.000 0.000 0.250
```

Results
raw total energy	-4.740	eV per atom
calculated volume	206	Å³/f.u.



(7)
VASP calculation (PBE-GGA) on a geometry-optimized Tm3AlSb structure.

The structure in CIF format:
```
data_Tm3AlSb
_chemical_formula_sum 'Tm6 Al2 Sb2'
_cell_length_a 8.330
_cell_length_b 4.242
_cell_length_c 9.286
_cell_angle_alpha 90.00
_cell_angle_beta 115.40
_cell_angle_gamma 90.00
_space_group_name_H-M_alt 'P 1 21/m 1'
_space_group_IT_number 11
loop_
_space_group_symop_operation_xyz
'x,y,z'
'-x,-y,-z'
'-x,y+1/2,-z'
'x,-y+1/2,z'
loop_
_atom_site_label
_atom_site_type_symbol
_atom_site_fract_x
_atom_site_fract_y
_atom_site_fract_z
Tm1 Tm 0.158 0.250 0.000
Tm2 Tm 0.181 0.250 0.622
Tm3 Tm 0.296 0.750 0.347
Al1 Al 0.008 0.250 0.257
Sb1 Sb 0.472 0.750 0.716
```

Results
raw total energy	-4.672	eV per atom
calculated volume	148	Å³/f.u.



(8)
VASP calculation (PBE-GGA) on a geometry-optimized Tm8Al3Sb2 structure.

The structure in CIF format:
```
data_Tm8Al3Sb2
_chemical_formula_sum 'Tm16 Al6 Sb4'
_cell_length_a 9.916
_cell_length_b 14.937
_cell_length_c 4.844
_cell_angle_alpha 90.00
_cell_angle_beta 90.00
_cell_angle_gamma 90.00
_space_group_name_H-M_alt 'C m m m'
_space_group_IT_number 65
_space_group_name_Hall '-C 2 2'
loop_
_atom_site_label
_atom_site_type_symbol
_atom_site_fract_x
_atom_site_fract_y
_atom_site_fract_z
Tm1 Tm 0.000 0.110 0.000
Tm2 Tm 0.000 0.373 0.000
Tm3 Tm 0.245 0.379 0.500
Al1 Al 0.000 0.500 0.500
Al2 Al 0.244 0.500 0.000
Sb1 Sb 0.000 0.239 0.500
```

Results
raw total energy	-4.618	eV per atom
calculated volume	359	Å³/f.u.



(9)
VASP calculation (PBE-GGA) on a geometry-optimized Tm4AlSb structure.

The structure in CIF format:
```
data_Tm4AlSb
_chemical_formula_sum 'Tm32 Al8 Sb8'
_cell_length_a 9.994
_cell_length_b 10.000
_cell_length_c 14.079
_cell_angle_alpha 90.00
_cell_angle_beta 90.00
_cell_angle_gamma 90.00
_space_group_name_H-M_alt 'F d d d'
_space_group_IT_number 70
loop_
_space_group_symop_operation_xyz
'x,y,z'
'-x,-y,-z'
'-x+1/4,-y+1/4,z'
'x+1/4,y+1/4,-z'
'x,-y+1/4,-z+1/4'
'-x,y+1/4,z+1/4'
'-x+1/4,y,-z+1/4'
'x+1/4,-y,z+1/4'
'x,y+1/2,z+1/2'
'-x,-y+1/2,-z+1/2'
'-x+1/4,-y+3/4,z+1/2'
'x+1/4,y+3/4,-z+1/2'
'x,-y+3/4,-z+3/4'
'-x,y+3/4,z+3/4'
'-x+1/4,y+1/2,-z+3/4'
'x+1/4,-y+1/2,z+3/4'
'x+1/2,y,z+1/2'
'-x+1/2,-y,-z+1/2'
'-x+3/4,-y+1/4,z+1/2'
'x+3/4,y+1/4,-z+1/2'
'x+1/2,-y+1/4,-z+3/4'
'-x+1/2,y+1/4,z+3/4'
'-x+3/4,y,-z+3/4'
'x+3/4,-y,z+3/4'
'x+1/2,y+1/2,z'
'-x+1/2,-y+1/2,-z'
'-x+3/4,-y+3/4,z'
'x+3/4,y+3/4,-z'
'x+1/2,-y+3/4,-z+1/4'
'-x+1/2,y+3/4,z+1/4'
'-x+3/4,y+1/2,-z+1/4'
'x+3/4,-y+1/2,z+1/4'
loop_
_atom_site_label
_atom_site_type_symbol
_atom_site_fract_x
_atom_site_fract_y
_atom_site_fract_z
Tm1 Tm 0.119 0.369 0.250
Al1 Al 0.125 0.125 0.125
Sb1 Sb 0.125 0.125 0.625
```

Results
raw total energy	-4.574	eV per atom
calculated volume	176	Å³/f.u.



(10)
VASP calculation (PBE-GGA) on a geometry-optimized Tm8Al2Sb structure.

The structure in CIF format:
```
data_Tm8Al2Sb
_chemical_formula_sum 'Tm16 Al4 Sb2'
_cell_length_a 19.072
_cell_length_b 4.904
_cell_length_c 6.716
_cell_angle_alpha 90.00
_cell_angle_beta 103.64
_cell_angle_gamma 90.00
_space_group_name_H-M_alt 'C 1 2/m 1'
_space_group_IT_number 12
loop_
_space_group_symop_operation_xyz
'x,y,z'
'-x,-y,-z'
'-x,y,-z'
'x,-y,z'
'x+1/2,y+1/2,z'
'-x+1/2,-y+1/2,-z'
'-x+1/2,y+1/2,-z'
'x+1/2,-y+1/2,z'
loop_
_atom_site_label
_atom_site_type_symbol
_atom_site_fract_x
_atom_site_fract_y
_atom_site_fract_z
Tm1 Tm 0.031 0.000 0.260
Tm2 Tm 0.095 0.500 0.966
Tm3 Tm 0.159 0.500 0.478
Tm4 Tm 0.217 0.000 0.814
Al1 Al 0.187 0.000 0.251
Sb1 Sb 0.000 0.500 0.500
```

Results
raw total energy	-4.589	eV per atom
calculated volume	305	Å³/f.u.



(11)
VASP calculation (PBE-GGA) on a geometry-optimized Tm7Al2Sb2 structure.

The structure in CIF format:
```
data_Tm7Al2Sb2
_chemical_formula_sum 'Tm14 Al4 Sb4'
_cell_length_a 7.703
_cell_length_b 10.672
_cell_length_c 7.640
_cell_angle_alpha 90.00
_cell_angle_beta 90.00
_cell_angle_gamma 90.00
_space_group_name_H-M_alt 'C m m m'
_space_group_IT_number 65
_space_group_name_Hall '-C 2 2'
loop_
_atom_site_label
_atom_site_type_symbol
_atom_site_fract_x
_atom_site_fract_y
_atom_site_fract_z
Tm1 Tm 0.000 0.000 0.000
Tm2 Tm 0.000 0.500 0.281
Tm3 Tm 0.250 0.250 0.292
Al1 Al 0.170 0.000 0.500
Sb1 Sb 0.000 0.298 0.000
```

Results
raw total energy	-4.509	eV per atom
calculated volume	314	Å³/f.u.



(12)
VASP calculation (PBE-GGA) on a geometry-optimized TmAlSb structure.

The structure in CIF format:
```
data_TmAlSb
_chemical_formula_sum 'Tm2 Al2 Sb2'
_cell_length_a 3.465
_cell_length_b 4.528
_cell_length_c 9.513
_cell_angle_alpha 89.45
_cell_angle_beta 79.60
_cell_angle_gamma 89.98
_space_group_name_H-M_alt 'P -1'
_space_group_IT_number 2
loop_
_space_group_symop_operation_xyz
'x,y,z'
'-x,-y,-z'
loop_
_atom_site_label
_atom_site_type_symbol
_atom_site_fract_x
_atom_site_fract_y
_atom_site_fract_z
Tm1 Tm 0.102 0.254 0.292
Al1 Al 0.467 0.249 0.567
Sb1 Sb 0.322 0.244 0.861
```

Results
raw total energy	-4.634	eV per atom
calculated volume	73	Å³/f.u.